No. 1
Here is crystalline Pm2DyPuS4 at its relaxed geometry from Alexandria. Energies are from PBE.

Summary:
Space-group type   P2/m
Magnetic moment   5.71 μB/f.u.
Energy relative to the elements, uncorrected   -1975.8 meV/atom

Cell lengths 6.8947, 3.9640, 6.9159 Å; angles 90.00, 109.19, 90.00 degrees
Atoms (fractional coordinates):
Pm 0.0000 0.0000 0.0000
Pm 0.5000 0.5000 0.0000
Dy 0.0000 0.5000 0.5000
Pu 0.5000 0.0000 0.5000
S 0.2446 0.0000 0.7400
S 0.2514 0.5000 0.2588
S 0.7486 0.5000 0.7412
S 0.7554 0.0000 0.2600


No. 2
Here is crystalline LiInP2 at its relaxed geometry from Alexandria. Energies are from PBE.

Summary:
Space-group type   R-3m
Magnetic moment   0.00 μB/f.u.
Energy of formation   0.273 eV/atom

Cell lengths 9.1835, 9.1835, 9.1835 Å; angles 18.96, 18.96, 18.96 degrees
Atoms (fractional coordinates):
Li 0.0000 0.0000 0.0000
In 0.5000 0.5000 0.5000
P 0.2601 0.2601 0.2601
P 0.7399 0.7399 0.7399